# 1
Entry from Alexandria: a relaxed structure of CaGa2Re (GGA-PBE).

extended XYZ file:
```
8
Lattice="-2.415 2.415 8.547 2.415 -2.415 8.547 2.415 2.415 -8.547" Properties=species:S:1:pos:R:3 pbc="T T T"
Ca 0.000 0.000 0.000
Ca 0.000 2.415 4.274
Ga 1.207 -0.359 6.411
Ga 2.056 1.207 2.137
Ga 1.207 2.774 -2.137
Ga 0.359 1.207 10.684
Re 2.415 0.000 4.274
Re 0.000 0.000 8.547
```

Computed properties:
VASP energy: -37.926 eV per cell

# 2
Entry from Alexandria: a relaxed structure of KBaIr2 (GGA-PBE).

extended XYZ file:
```
4
Lattice="2.744 -4.275 0.000 2.744 4.275 0.000 0.000 0.000 4.360" Properties=species:S:1:pos:R:3 pbc="T T T"
K 0.000 0.000 0.000
Ba 2.744 0.000 0.000
Ir 1.372 2.138 2.180
Ir 1.372 -2.138 2.180
```

Computed properties:
VASP energy: -17.495 eV per cell

# 3
Entry from Alexandria: a relaxed structure of Ho2ThCo9 (GGA-PBE).

extended XYZ file:
```
12
Lattice="2.488 1.436 8.178 -2.488 1.436 8.178 0.000 -2.873 8.178" Properties=species:S:1:pos:R:3 pbc="T T T"
Ho 0.000 0.000 3.449
Ho 0.000 0.000 21.084
Th 0.000 0.000 0.000
Co -1.255 -0.725 10.200
Co 0.000 0.000 8.211
Co 0.000 -1.449 14.333
Co -1.255 0.725 14.333
Co 0.000 0.000 12.266
Co 1.255 -0.725 10.200
Co 0.000 1.449 10.200
Co 0.000 0.000 16.322
Co 1.255 0.725 14.333
```

Computed properties:
VASP energy: -82.911 eV per cell

# 4
Entry from Alexandria: a relaxed structure of LaPmNdCd (GGA-PBE).

extended XYZ file:
```
4
Lattice="0.000 3.989 3.989 3.989 0.000 3.989 3.989 3.989 0.000" Properties=species:S:1:pos:R:3 pbc="T T T"
La 0.000 0.000 0.000
Pm 1.995 1.995 1.995
Nd 3.989 3.989 3.989
Cd 5.984 5.984 5.984
```

Computed properties:
VASP energy: -15.508 eV per cell

# 5
Entry from Alexandria: a relaxed structure of La2MgOsPb (GGA-PBE).

extended XYZ file:
```
5
Lattice="5.451 0.000 0.000 0.000 5.451 0.000 0.000 0.000 5.176" Properties=species:S:1:pos:R:3 pbc="T T T"
La 0.000 2.725 0.000
La 2.725 0.000 0.000
Mg 0.000 0.000 2.588
Os 0.000 0.000 0.000
Pb 2.725 2.725 2.588
```

Computed properties:
VASP energy: -27.277 eV per cell

# 6
Entry from Alexandria: a relaxed structure of PuCdTcO6 (GGA-PBE).

extended XYZ file:
```
18
Lattice="5.433 0.000 0.000 -2.716 4.705 0.000 0.000 0.000 9.658" Properties=species:S:1:pos:R:3 pbc="T T T"
Pu 0.000 3.137 2.414
Pu 2.716 1.568 7.243
Cd 0.000 0.000 0.000
Cd 0.000 0.000 4.829
Tc 0.000 3.137 7.243
Tc 2.716 1.568 2.414
O -0.877 1.733 6.160
O -1.654 3.079 8.327
O 0.877 1.733 8.327
O -0.777 4.598 6.160
O 1.939 0.107 1.331
O 1.062 1.626 3.498
O 1.654 3.079 6.160
O 0.777 4.598 8.327
O 3.494 0.107 3.498
O 1.839 2.972 1.331
O 4.371 1.626 1.331
O 3.594 2.972 3.498
```

Computed properties:
VASP energy: -143.399 eV per cell
Formation energy without anion corrections: -1815 meV per atom

# 7
Entry from Alexandria: a relaxed structure of Be2CrW (GGA-PBE).

extended XYZ file:
```
8
Lattice="-1.726 1.726 8.440 1.726 -1.726 8.440 1.726 1.726 -8.440" Properties=species:S:1:pos:R:3 pbc="T T T"
Be 2.589 0.809 -2.110
Be 0.809 0.863 2.110
Be -0.863 0.917 6.330
Be 0.917 0.863 10.551
Cr 0.000 0.000 0.000
Cr 0.000 1.726 4.220
W 1.726 0.000 4.220
W 0.000 0.000 8.440
```

Computed properties:
VASP energy: -54.364 eV per cell

# 8
Entry from Alexandria: a relaxed structure of Tm3ZrH (GGA-PBE).

extended XYZ file:
```
5
Lattice="4.801 0.000 0.000 0.000 4.801 0.000 0.000 0.000 4.801" Properties=species:S:1:pos:R:3 pbc="T T T"
Tm 0.000 0.000 2.400
Tm 0.000 2.400 0.000
Tm 2.400 0.000 0.000
Zr 2.400 2.400 2.400
H 0.000 0.000 0.000
```

Computed properties:
VASP energy: -25.864 eV per cell

# 9
Entry from Alexandria: a relaxed structure of Sm4CoRhBr2 (GGA-PBE).

extended XYZ file:
```
8
Lattice="6.960 0.000 0.000 0.000 4.003 0.000 -2.295 0.000 7.741" Properties=species:S:1:pos:R:3 pbc="T T T"
Sm 1.098 0.000 1.481
Sm -0.037 2.002 6.229
Sm 4.702 2.002 1.512
Sm 3.567 0.000 6.260
Co 0.000 2.002 0.000
Rh 3.480 0.000 0.000
Br -1.148 0.000 3.871
Br 2.332 2.002 3.871
```

Computed properties:
VASP energy: -43.940 eV per cell
Formation energy without anion corrections: -908 meV per atom

# 10
Entry from Alexandria: a relaxed structure of Rb2Y2F7 (GGA-PBE).

extended XYZ file:
```
11
Lattice="3.805 -4.131 0.000 3.805 4.131 0.000 0.000 0.000 6.974" Properties=species:S:1:pos:R:3 pbc="T T T"
Rb 1.819 0.000 0.000
Rb 5.791 0.000 0.000
Y 3.805 2.246 3.487
Y 3.805 -2.246 3.487
F 0.000 0.000 2.219
F 0.000 0.000 4.755
F 1.903 2.066 2.194
F 1.903 2.066 4.780
F 1.903 -2.066 2.194
F 1.903 -2.066 4.780
F 3.805 0.000 3.487
```

Computed properties:
VASP energy: -65.799 eV per cell
Formation energy without anion corrections: -3440 meV per atom

# 11
Entry from Alexandria: a relaxed structure of Ti3BeB (GGA-PBE).

extended XYZ file:
```
5
Lattice="4.217 0.000 0.000 0.000 4.217 0.000 0.000 0.000 4.217" Properties=species:S:1:pos:R:3 pbc="T T T"
Ti 0.000 0.000 2.108
Ti 0.000 2.108 0.000
Ti 2.108 0.000 0.000
Be 2.108 2.108 2.108
B 0.000 0.000 0.000
```

Computed properties:
VASP energy: -34.276 eV per cell

# 12
Entry from Alexandria: a relaxed structure of Np2GaOs (GGA-PBE).

extended XYZ file:
```
4
Lattice="3.732 0.000 0.000 0.000 3.732 0.000 0.000 0.000 5.638" Properties=species:S:1:pos:R:3 pbc="T T T"
Np 0.000 0.000 1.409
Np 0.000 0.000 4.229
Ga 1.866 1.866 0.000
Os 1.866 1.866 2.819
```

Computed properties:
VASP energy: -39.910 eV per cell

| no. | N(E_F) (states/eV per cell) |
| --- | --- |
| 1 | 8.38 |
| 2 | 3.62 |
| 3 | 16.81 |
| 4 | 5.87 |
| 5 | 5.24 |
| 6 | 13.12 |
| 7 | 4.70 |
| 8 | 5.85 |
| 9 | 1.82 |
| 10 | 1.97 |
| 11 | 2.81 |
| 12 | 9.61 |